Entry 1:
This record from Alexandria describes a relaxed structure of NbCrTc. The functional is PBE.

It has space group P3m1 (No. 156), with a = 4.3379 Å, b = 4.3379 Å, c = 2.7383 Å, α = 90.00°, β = 90.00° and γ = 120.00°. The asymmetric unit holds Nb at (0.0000, 0.0000, 0.0000), Cr at (0.6667, 0.3333, 0.6620) and Tc at (0.3333, 0.6667, 0.3436).

For the total magnetic moment, the calculation gives 0.0 Bohr magnetons per cell. The energy relative to the lowest polymorph listed for this composition comes out at 0.223 eV/f.u. The calculation puts the formation energy at 0.00 eV/atom.

---

Entry 2:
This record from Alexandria describes a relaxed structure of KNa2NbBr8. The functional is PBE.

It has space group P-1 (No. 2), with a = 6.666 Å, b = 7.817 Å, c = 9.724 Å, α = 111.74°, β = 92.30° and γ = 99.82°. The asymmetric unit holds K at (0.000, 0.000, 0.000), Na at (0.478, 0.327, 0.805), Nb at (0.000, 0.000, 0.500), Br at (0.099, 0.780, 0.250), Br at (0.255, 0.905, 0.645), Br at (0.271, 0.270, 0.500) and Br at (0.438, 0.280, 0.076).

The value obtained for the formation energy from raw total energies is -1.18 eV per atom. For the total magnetic moment, the calculation gives 0.0 Bohr magnetons per cell.

---

Entry 3:
This record from Alexandria describes a relaxed structure of SnHgBr2. The functional is PBE.

It has space group R-3m (No. 166, hexagonal axes), with a = 4.3300 Å, b = 4.3300 Å, c = 33.4063 Å, α = 90.00°, β = 90.00° and γ = 120.00°. The asymmetric unit holds Sn at (0.0000, 0.0000, 0.0000), Hg at (0.0000, 0.0000, 0.5000) and Br at (0.0000, 0.0000, 0.3844).

The value obtained for the formation energy from raw total energies is -0.54 eV per atom. For the total magnetic moment, the calculation gives 0.0 Bohr magnetons per cell. The energy relative to the lowest polymorph listed for this composition comes out at 0.007 eV/f.u.

---

Entry 4:
This record from Alexandria describes a relaxed structure of Na2ZnSn6. The functional is PBE.

It has space group C2/m (No. 12), with a = 11.269 Å, b = 6.450 Å, c = 8.167 Å, α = 90.00°, β = 121.17° and γ = 90.00°. The asymmetric unit holds Na at (0.200, 0.000, 0.126), Zn at (0.000, 0.500, 0.000), Sn at (0.017, 0.252, 0.313) and Sn at (0.221, 0.000, 0.680).

For the total magnetic moment, the calculation gives 0.0 Bohr magnetons per cell. The energy relative to the lowest polymorph listed for this composition comes out at 0.416 eV/f.u. The calculation puts the formation energy at -0.02 eV/atom.

---

Entry 5:
This record from Alexandria describes a relaxed structure of ZnRuPt3. The functional is PBE.

It has space group Pm-3m (No. 221), with a = 4.570 Å, b = 4.570 Å, c = 4.570 Å, α = 90.00°, β = 90.00° and γ = 90.00°. The asymmetric unit holds Zn at (0.000, 0.000, 0.000), Ru at (0.500, 0.500, 0.500) and Pt at (0.000, 0.000, 0.500).

For the total magnetic moment, the calculation gives 3.5 Bohr magnetons per cell. The energy relative to the lowest polymorph listed for this composition comes out at 0.000 eV/f.u. The calculation puts the formation energy at 1.15 eV/atom.

---

Entry 6:
This record from Alexandria describes a relaxed structure of HfBe2Ga2. The functional is PBE.

It has space group I4/mmm (No. 139), with a = 3.731 Å, b = 3.731 Å, c = 10.030 Å, α = 90.00°, β = 90.00° and γ = 90.00°. The asymmetric unit holds Hf at (0.000, 0.000, 0.000), Be at (0.000, 0.500, 0.250) and Ga at (0.000, 0.000, 0.381).

For the total magnetic moment, the calculation gives 0.0 Bohr magnetons per cell. The energy relative to the lowest polymorph listed for this composition comes out at 0.000 eV/f.u. The calculation puts the formation energy at -0.14 eV/atom.

---

Entry 7:
This record from Alexandria describes a relaxed structure of CaMg2. The functional is PBE.

It has space group Cmcm (No. 63), with a = 4.032 Å, b = 15.678 Å, c = 5.376 Å, α = 90.00°, β = 90.00° and γ = 90.00°. The asymmetric unit holds Ca at (0.000, 0.084, 0.250), Mg at (0.000, 0.243, 0.750) and Mg at (0.000, 0.405, 0.250).

For the total magnetic moment, the calculation gives 0.0 Bohr magnetons per cell. The calculation puts the formation energy at -0.05 eV/atom.

---

Entry 8:
This record from Alexandria describes a relaxed structure of Pr3ErTl2. The functional is PBE.

It has space group Ibam (No. 72), with a = 6.775 Å, b = 17.015 Å, c = 6.737 Å, α = 90.00°, β = 90.00° and γ = 90.00°. The asymmetric unit holds Pr at (0.000, 0.000, 0.250), Pr at (0.247, 0.323, 0.000), Er at (0.000, 0.500, 0.250) and Tl at (0.241, 0.366, 0.500).

For the total magnetic moment, the calculation gives 4.2 Bohr magnetons per cell. The calculation puts the formation energy at -0.24 eV/atom.

---

For reference, mass density by record: 9.04 2.95 4.40 5.39 13.08 7.99 1.73 8.54 g/cm3.